The following is a PBE-GGA calculation of a geometry-optimized SrUN2 structure, from Alexandria via LeMat-Bulk.

a = 3.5695 Å, b = 3.5695 Å, c = 12.0091 Å
α = 90.00°, β = 90.00°, γ = 120.00°
Space group P6_3/mmc (No. 194)
Unique sites:
Sr (0.3333, 0.6667, 0.2500) (multiplicity 2)
U (0.0000, 0.0000, 0.0000) (multiplicity 2)
N (0.3333, 0.6667, 0.5945) (multiplicity 4)

Values from the calculation:
DFT total energy = -34.2 eV/f.u.

***

The following is a PBE-GGA calculation of a geometry-optimized ScTl2Mo structure, from Alexandria via LeMat-Bulk.

a = 3.737 Å, b = 3.737 Å, c = 6.201 Å
α = 90.00°, β = 90.00°, γ = 90.00°
Space group P4mm (No. 99)
Unique sites:
Sc (0.000, 0.000, 0.000) (multiplicity 1)
Tl (0.000, 0.000, 0.544) (multiplicity 1)
Tl (0.500, 0.500, 0.272) (multiplicity 1)
Mo (0.500, 0.500, 0.793) (multiplicity 1)

Values from the calculation:
Energy relative to the lowest polymorph listed for this composition = 0.072 eV per atom
ΔE_f = 328 meV/atom

***

The following is a PBE-GGA calculation of a geometry-optimized LiAl2As structure, from Alexandria via LeMat-Bulk.

a = 2.9591 Å, b = 2.9591 Å, c = 27.5833 Å
α = 90.00°, β = 90.00°, γ = 120.00°
Space group R-3m (No. 166, hexagonal axes)
Unique sites:
Li (0.0000, 0.0000, 0.0000) (multiplicity 3)
Al (0.0000, 0.0000, 0.2519) (multiplicity 6)
As (0.0000, 0.0000, 0.5000) (multiplicity 3)

Values from the calculation:
ΔE_f = 76 meV/atom

***

The following is a PBE-GGA calculation of a geometry-optimized PaSiGeRu structure, from Alexandria via LeMat-Bulk.

a = 10.099 Å, b = 4.335 Å, c = 4.041 Å
α = 90.00°, β = 113.29°, γ = 90.00°
Space group Cm (No. 8)
Unique sites:
Pa (0.000, 0.000, 0.000) (multiplicity 2)
Si (0.127, 0.500, 0.623) (multiplicity 2)
Ge (0.367, 0.000, 0.367) (multiplicity 2)
Ru (0.217, 0.000, 0.720) (multiplicity 2)

Values from the calculation:
DFT total energy = -30.1 eV/f.u.